## Sr2Li (SCAN)

Data for a crystal of Sr2Li relaxed with PBEsol.

Cell lengths 9.6327, 9.6327, 4.7835 Å; angles 90.00, 90.00, 120.00 degrees
Space group P-62m (No. 189)
Asymmetric unit:
Sr (0.0000, 0.2525, 0.0000) x3
Sr (0.0000, 0.5932, 0.5000) x3
Li (0.0000, 0.0000, 0.5000) x1
Li (0.3333, 0.6667, 0.0000) x2

Properties
D(E_F): 2.70 states/eV/f.u.
formation energy from the elements: 0.0357 eV/atom

## InAgI2 (SCAN)

Data for a crystal of InAgI2 relaxed with PBEsol.

Cell lengths 8.180, 8.180, 8.073 Å; angles 90.00, 90.00, 90.00 degrees
Space group I-42d (No. 122)
Asymmetric unit:
In (0.000, 0.000, 0.000) x4
Ag (0.000, 0.000, 0.500) x4
I (0.197, 0.750, 0.625) x8

Properties
D(E_F): 0.00 states/eV/f.u.
total DFT energy (no corrections): -34.838 eV per atom

## ScNi2Br (SCAN)

Data for a crystal of ScNi2Br relaxed with PBEsol.

Cell lengths 3.241, 3.218, 6.544 Å; angles 90.00, 104.12, 90.00 degrees
Space group Pm (No. 6)
Asymmetric unit:
Sc (0.000, 0.000, 0.000) x1
Ni (0.378, 0.500, 0.756) x1
Ni (0.819, 0.000, 0.636) x1
Br (0.631, 0.500, 0.264) x1

Properties
D(E_F): 2.51 states/eV/f.u.
total DFT energy (no corrections): -16.758 eV per atom

## Be2InBr (SCAN)

Data for a crystal of Be2InBr relaxed with PBEsol.

Cell lengths 3.086, 3.086, 7.039 Å; angles 90.00, 90.00, 90.00 degrees
Space group P4/mmm (No. 123)
Asymmetric unit:
Be (0.000, 0.000, 0.245) x2
In (0.500, 0.500, 0.500) x1
Br (0.500, 0.500, 0.000) x1

Properties
D(E_F): 1.37 states/eV/f.u.
total DFT energy (no corrections): -14.676 eV per atom